Record 1
DFT (meta-GGA SCAN) results for LiScRe2 at its PBEsol-relaxed geometry.

Cell: 5.2695 9.2219 2.6632 Å, 90.00 110.33 90.00°
With the nearest neighbours (Å) after each atom.
Space group C2/m (No. 12)
Inequivalent atoms, fractional coordinates:
Li: 0.0000 0.0000 0.0000 [2 per cell]  2 Sc 2.63, 2 Li 2.66, 4 Re 2.76
Sc: 0.0000 0.5000 0.0000 [2 per cell]  2 Li 2.63, 2 Sc 2.66, 4 Re 2.76
Re: 0.2500 0.2500 0.5000 [4 per cell]  4 Re 2.63-2.66, 2 Li 2.76, 2 Sc 2.76

Summary:
The calculation puts the formation energy at 10.6 kJ per mole of atoms. The calculation puts the distance to the lowest polymorph of the same formula at 0.0432 eV/atom. For the total DFT energy (no corrections), the calculation gives -316.8 eV per cell.

***

Record 2
DFT (meta-GGA SCAN) results for KLiAu at its PBEsol-relaxed geometry.

Cell: 3.4868 3.7229 11.7252 Å, 90.00 90.00 90.00°
With the nearest neighbours (Å) after each atom.
Space group Imm2 (No. 44)
Inequivalent atoms, fractional coordinates:
K: 0.0000 0.0000 0.0000 [2 per cell]  1 Li 3.08
Li: 0.0000 0.0000 0.2629 [2 per cell]  4 Au 2.64
Au: 0.0000 0.0000 0.7047 [2 per cell]  4 Li 2.64

Summary:
The calculation puts the formation energy at -30.6 kJ per mole of atoms. For the total DFT energy (no corrections), the calculation gives -161.7 eV per cell.

***

Record 3
DFT (meta-GGA SCAN) results for Rb2SiPd at its PBEsol-relaxed geometry.

Cell: 12.6584 12.6584 4.5455 Å, 90.00 90.00 90.00°
With the nearest neighbours (Å) after each atom.
Space group I-42d (No. 122)
Inequivalent atoms, fractional coordinates:
Rb: 0.0543 0.7500 0.1250 [8 per cell]  2 Pd 3.29, 2 Si 3.66
Si: 0.0000 0.0000 0.5000 [4 per cell]  2 Pd 2.27
Pd: 0.0000 0.0000 0.0000 [4 per cell]  2 Si 2.27

Summary:
For the total DFT energy (no corrections), the calculation gives -337.5 eV per cell. The value obtained for the formation energy from raw total energies is -0.12 eV/f.u.

***

Record 4
DFT (meta-GGA SCAN) results for Y4HgIr at its PBEsol-relaxed geometry.

Cell: 8.2830 8.2830 8.2830 Å, 90.00 90.00 90.00°
With the nearest neighbours (Å) after each atom.
Space group F-43m (No. 216)
Inequivalent atoms, fractional coordinates:
Y: 0.1235 0.1235 0.3765 [16 per cell]  6 Y 2.89-2.96
Hg: 0.0000 0.0000 0.0000 [4 per cell]  12 Y 3.44, 4 Ir 3.59
Ir: 0.2500 0.2500 0.7500 [4 per cell]  12 Y 3.43, 4 Hg 3.59

Summary:
The calculation puts the formation energy at 48.8 kJ per mole of atoms. For the total DFT energy (no corrections), the calculation gives -990.4 eV per cell.

***

Record 5
DFT (meta-GGA SCAN) results for MnCuSi2 at its PBEsol-relaxed geometry.

Cell: 2.9087 2.9087 5.3387 Å, 90.00 90.00 90.00°
With the nearest neighbours (Å) after each atom.
Space group P4/mmm (No. 123)
Inequivalent atoms, fractional coordinates:
Mn: 0.0000 0.0000 0.0000 [1 per cell]  8 Si 2.42, 2 Cu 2.67
Cu: 0.0000 0.0000 0.5000 [1 per cell]  8 Si 2.49, 2 Mn 2.67
Si: 0.5000 0.5000 0.2385 [2 per cell]  4 Mn 2.42, 4 Cu 2.49, 1 Si 2.55

Summary:
For the total DFT energy (no corrections), the calculation gives -53.9 eV per cell. The value obtained for the formation energy from raw total energies is -0.43 eV/f.u.

***

Record 6
DFT (meta-GGA SCAN) results for ScWBr2 at its PBEsol-relaxed geometry.

Cell: 3.1473 3.1473 8.5306 Å, 90.00 90.00 90.00°
With the nearest neighbours (Å) after each atom.
Space group P4mm (No. 99)
Inequivalent atoms, fractional coordinates:
Sc: 0.0000 0.0000 0.0000 [1 per cell]  4 Br 2.83, 4 W 3.03, 4 Sc 3.15
W: 0.5000 0.5000 0.2412 [1 per cell]  4 Br 2.66
Br: 0.0000 0.0000 0.4128 [1 per cell]  4 W 2.66
Br: 0.5000 0.5000 0.7952 [1 per cell]  4 Sc 2.83, 4 Br 3.15

Summary:
The calculation puts the distance to the lowest polymorph of the same formula at 0.0000 eV/atom. For the total DFT energy (no corrections), the calculation gives -123.4 eV per cell. The value obtained for the formation energy from raw total energies is -0.58 eV/f.u.